(1)
Here is a relaxed Pu3UTl4Te8 crystal from Alexandria. Energies are from GGA-PBE.

Geometry as CIF:
```
data_Pu3UTl4Te8
_cell_length_a 8.9874
_cell_length_b 8.9874
_cell_length_c 24.4969
_cell_angle_alpha 90.00
_cell_angle_beta 90.00
_cell_angle_gamma 120.00
_symmetry_space_group_name_H-M 'R -3 m'
_symmetry_Int_Tables_number 166
_symmetry_space_group_name_Hall '-R 3 2"'
loop_
_atom_site_label
_atom_site_type_symbol
_atom_site_fract_x
_atom_site_fract_y
_atom_site_fract_z
Pu1 Pu 0.0000 0.5000 0.0000
U1 U 0.0000 0.0000 0.0000
Tl1 Tl 0.0000 0.0000 0.5000
Tl2 Tl 0.0000 0.5000 0.5000
Te1 Te 0.0000 0.0000 0.2619
Te2 Te 0.0056 0.5028 0.7379
```

## Properties
As for the total energy: -6.290 eV per atom. The size of the total moment is 18.00 μB per formula unit. The density of states at the Fermi level comes out at 2.77 states/eV/atom.

(2)
Here is a relaxed Pm6Ge2SI3 crystal from Alexandria. Energies are from GGA-PBE.

Geometry as CIF:
```
data_Pm6Ge2SI3
_cell_length_a 7.3636
_cell_length_b 12.7560
_cell_length_c 8.0529
_cell_angle_alpha 90.00
_cell_angle_beta 107.77
_cell_angle_gamma 90.00
_symmetry_space_group_name_H-M 'C 1 2/m 1'
_symmetry_Int_Tables_number 12
loop_
_symmetry_equiv_pos_as_xyz
'x,y,z'
'-x,-y,-z'
'-x,y,-z'
'x,-y,z'
'x+1/2,y+1/2,z'
'-x+1/2,-y+1/2,-z'
'-x+1/2,y+1/2,-z'
'x+1/2,-y+1/2,z'
loop_
_atom_site_label
_atom_site_type_symbol
_atom_site_fract_x
_atom_site_fract_y
_atom_site_fract_z
Pm1 Pm 0.2275 0.1635 0.1927
Pm2 Pm 0.2383 0.5000 0.1936
Ge1 Ge 0.0000 0.3337 0.0000
S1 S 0.0000 0.0000 0.0000
I1 I 0.0000 0.1695 0.5000
I2 I 0.0000 0.5000 0.5000
```

## Properties
As for the total energy: -5.063 eV per atom. The size of the total moment is 0.00 μB per formula unit. The density of states at the Fermi level comes out at 0.42 states/eV/atom.

(3)
Here is a relaxed SrLiCa5 crystal from Alexandria. Energies are from GGA-PBE.

Geometry as CIF:
```
data_SrLiCa5
_cell_length_a 5.5728
_cell_length_b 5.5728
_cell_length_c 9.6104
_cell_angle_alpha 90.00
_cell_angle_beta 90.00
_cell_angle_gamma 90.00
_symmetry_space_group_name_H-M 'P 4/m m m'
_symmetry_Int_Tables_number 123
_symmetry_space_group_name_Hall '-P 4 2'
loop_
_atom_site_label
_atom_site_type_symbol
_atom_site_fract_x
_atom_site_fract_y
_atom_site_fract_z
Sr1 Sr 0.0000 0.0000 0.0000
Li1 Li 0.5000 0.5000 0.5000
Ca1 Ca 0.0000 0.5000 0.3006
Ca2 Ca 0.5000 0.5000 0.0000
```

## Properties
The value obtained for the energy above the most stable polymorph in this dataset is 0.000 eV per atom. The size of the total moment is 0.00 μB per formula unit. The density of states at the Fermi level comes out at 1.08 states/eV/atom. The calculation puts the formation energy at 0.71 eV/f.u.

Question: The highest size of the total moment belongs to which entry?
Answer: Pu3UTl4Te8